No. 1
# MnNiW2

A geometry-optimized MnNiW2 structure (GGA-PBE, Alexandria via LeMat-Bulk).

Output
**Energy above the most stable polymorph in this dataset**: 71 meV per atom
**VASP energy**: -10.048 eV per atom

```
MnNiW2
1.0
4.426 -1.363 0.000
4.426 1.363 0.000
-0.830 0.000 4.549
Mn Ni W
1 1 2
Direct
0.000 0.000 0.000
0.265 0.265 0.735
0.519 0.519 0.529
0.753 0.753 0.218
```

***

No. 2
# MnNiW2

A geometry-optimized MnNiW2 structure (GGA-PBE, Alexandria via LeMat-Bulk).

Output
**Energy above the most stable polymorph in this dataset**: 107 meV per atom
**VASP energy**: -10.012 eV per atom

```
MnNiW2
1.0
-1.660 2.044 4.048
1.660 -2.044 4.048
1.660 2.044 -4.048
Mn Ni W
1 1 2
Direct
0.000 0.000 0.000
0.249 0.749 0.500
0.508 0.508 0.000
0.761 0.261 0.500
```

***

No. 3
# Mn2NiW

A geometry-optimized Mn2NiW structure (GGA-PBE, Alexandria via LeMat-Bulk).

Output
**Energy above the most stable polymorph in this dataset**: 586 meV per atom
**VASP energy**: -8.652 eV per atom

```
Mn2NiW
1.0
-3.278 3.278 2.567
3.278 -3.278 2.567
3.278 3.278 -2.567
Mn Ni W
4 2 2
Direct
0.114 0.625 0.989
0.375 0.364 0.489
0.636 0.125 0.011
0.875 0.886 0.511
0.000 0.000 0.000
0.750 0.250 0.500
0.250 0.750 0.500
0.500 0.500 0.000
```

***

No. 4
# MnNi2W

A geometry-optimized MnNi2W structure (GGA-PBE, Alexandria via LeMat-Bulk).

Output
**Energy above the most stable polymorph in this dataset**: 86 meV per atom
**VASP energy**: -8.372 eV per atom

```
MnNi2W
1.0
2.629 0.000 0.000
0.000 4.160 0.000
-0.005 0.000 4.530
Mn Ni W
1 2 1
Direct
0.000 0.000 0.000
0.499 0.000 0.516
0.499 0.500 0.834
0.998 0.500 0.336
```

***

No. 5
# MnNi2W

A geometry-optimized MnNi2W structure (GGA-PBE, Alexandria via LeMat-Bulk).

Output
**Energy above the most stable polymorph in this dataset**: 20 meV per atom
**VASP energy**: -8.438 eV per atom

```
MnNi2W
1.0
3.579 0.000 0.000
0.000 3.579 0.000
0.000 0.000 3.795
Mn Ni W
1 2 1
Direct
0.000 0.000 0.000
0.000 0.500 0.500
0.500 0.000 0.500
0.500 0.500 0.000
```

***

No. 6
# MnNiW

A geometry-optimized MnNiW structure (GGA-PBE, Alexandria via LeMat-Bulk).

Output
**Energy above the most stable polymorph in this dataset**: 65 meV per atom
**VASP energy**: -9.198 eV per atom

```
MnNiW
1.0
-1.335 1.800 4.064
1.335 -1.800 4.064
1.335 1.800 -4.064
Mn Ni W
1 1 1
Direct
0.000 0.000 0.000
0.658 0.658 0.000
0.329 0.329 0.000
```

***

No. 7
# MnNi2W

A geometry-optimized MnNi2W structure (GGA-PBE, Alexandria via LeMat-Bulk).

Output
**Energy above the most stable polymorph in this dataset**: 0 meV per atom
**VASP energy**: -8.458 eV per atom

```
MnNi2W
1.0
-1.803 1.803 3.775
1.803 -1.803 3.775
1.803 1.803 -3.775
Mn Ni W
1 2 1
Direct
0.000 0.000 0.000
0.250 0.750 0.500
0.750 0.250 0.500
0.500 0.500 0.000
```

***

No. 8
# Mn2NiW

A geometry-optimized Mn2NiW structure (GGA-PBE, Alexandria via LeMat-Bulk).

Output
**Energy above the most stable polymorph in this dataset**: 142 meV per atom
**VASP energy**: -9.096 eV per atom

```
Mn2NiW
1.0
1.669 -2.014 0.000
1.669 2.014 0.000
0.000 0.000 7.677
Mn Ni W
2 1 1
Direct
0.000 0.000 0.232
0.000 0.000 0.768
0.500 0.500 0.000
0.500 0.500 0.500
```

***

No. 9
# MnNiW2

A geometry-optimized MnNiW2 structure (GGA-PBE, Alexandria via LeMat-Bulk).

Output
**Energy above the most stable polymorph in this dataset**: 166 meV per atom
**VASP energy**: -9.953 eV per atom

```
MnNiW2
1.0
0.000 3.005 3.005
3.005 0.000 3.005
3.005 3.005 0.000
Mn Ni W
1 1 2
Direct
0.000 0.000 0.000
0.500 0.500 0.500
0.250 0.250 0.250
0.750 0.750 0.750
```

***

No. 10
# Mn2Ni15W2

A geometry-optimized Mn2Ni15W2 structure (GGA-PBE, Alexandria via LeMat-Bulk).

Output
**VASP energy**: -6.747 eV per atom

```
Mn2Ni15W2
1.0
3.996 2.307 4.089
-3.996 2.307 4.089
0.000 -4.614 4.089
Mn Ni W
2 15 2
Direct
0.100 0.100 0.100
0.900 0.900 0.900
0.000 0.000 0.500
0.000 0.318 0.682
0.000 0.500 0.000
0.000 0.682 0.318
0.162 0.653 0.653
0.318 0.000 0.682
0.318 0.682 0.000
0.347 0.347 0.838
0.347 0.838 0.347
0.500 0.000 0.000
0.653 0.162 0.653
0.653 0.653 0.162
0.682 0.000 0.318
0.682 0.318 0.000
0.838 0.347 0.347
0.303 0.303 0.303
0.697 0.697 0.697
```

***

No. 11
# Mn2NiW

A geometry-optimized Mn2NiW structure (GGA-PBE, Alexandria via LeMat-Bulk).

Output
**Energy above the most stable polymorph in this dataset**: 47 meV per atom
**VASP energy**: -9.190 eV per atom

```
Mn2NiW
1.0
2.650 0.000 0.000
0.000 3.593 0.000
-0.007 0.000 5.259
Mn Ni W
2 1 1
Direct
0.000 0.000 0.000
0.500 0.500 0.220
0.500 0.500 0.751
0.000 0.000 0.495
```

***

No. 12
# MnNi2W

A geometry-optimized MnNi2W structure (GGA-PBE, Alexandria via LeMat-Bulk).

Output
**Energy above the most stable polymorph in this dataset**: 80 meV per atom
**VASP energy**: -8.377 eV per atom

```
MnNi2W
1.0
2.667 0.000 0.000
0.000 2.667 0.000
0.000 0.000 7.242
Mn Ni W
1 2 1
Direct
0.000 0.000 0.000
0.500 0.500 0.241
0.500 0.500 0.759
0.000 0.000 0.500
```

***

| no. | spin magnetization (μB per formula unit) | ΔE_f (meV/atom) | Fermi-level density of states (states/eV per cell) |
| --- | --- | --- | --- |
| 1 | 1.2 | 166 | 3.86 |
| 2 | 0.9 | 203 | 4.40 |
| 3 | 4.2 | 616 | 7.34 |
| 4 | 1.9 | 49 | 4.11 |
| 5 | 0.9 | -16 | 2.75 |
| 6 | 2.2 | 103 | 3.07 |
| 7 | 2.0 | -37 | 2.48 |
| 8 | 4.5 | 172 | 5.56 |
| 9 | 0.0 | 262 | 4.34 |
| 10 | 9.4 | 146 | 21.55 |
| 11 | 0.6 | 78 | 3.37 |
| 12 | 4.2 | 44 | 3.91 |